1.
Entry from Alexandria via LeMat-Bulk: a relaxed structure of Pr2MnHPt6 (PBE).

Computed properties:
E_tot in eV/atom: -6.53

The structure in extended XYZ format:
```
10
Lattice="-4.7771 0.4829 -5.1156 2.4157 -4.4615 -2.6769 -3.0117 -4.8056 -0.8546" Properties=species:S:1:pos:R:3 pbc="T T T"
Pr -0.6941 -5.8460 -3.1759
Pt -3.1357 -5.5121 -5.9351
H -1.1807 -1.9893 -3.8963
Pt -2.4982 -7.9030 -4.4917
Pt -2.8749 -0.8813 -4.1554
Pr -4.6789 -2.9382 -5.4713
Pt -2.2374 -3.2721 -2.7121
Pt -1.6502 -3.1430 -5.5128
Pt -3.7229 -5.6412 -3.1344
Mn 0.0000 0.0000 0.0000
```

***

2.
Entry from Alexandria via LeMat-Bulk: a relaxed structure of Pr2MnH12Rh3 (PBE).

Computed properties:
E_tot in eV/atom: -4.77

The structure in extended XYZ format:
```
18
Lattice="5.9896 -0.1480 -0.1049 2.8293 5.2813 -0.1049 2.8293 1.6469 5.0190" Properties=species:S:1:pos:R:3 pbc="T T T"
H 7.1933 6.1300 4.3479
Rh 1.4147 2.6406 -0.0525
H 4.5579 4.6386 3.2901
Rh 2.9948 -0.0740 -0.0525
H 5.3639 5.1077 1.5191
H 6.2844 1.6725 3.2901
Pr 4.4030 2.5629 1.8178
H 6.2844 3.6580 0.4908
Rh 1.4147 0.8234 2.5095
H 2.7655 3.5527 0.4612
H 7.0903 2.1417 1.5191
Pr 7.2453 4.2173 2.9913
H 2.7655 1.6098 3.2004
H 4.4550 0.6503 0.4612
H 8.8827 5.1705 1.6087
H 8.8827 3.2276 4.3479
H 5.3639 3.1222 4.3183
Mn 0.0000 0.0000 0.0000
```

***

3.
Entry from Alexandria via LeMat-Bulk: a relaxed structure of Mn2HPt2 (PBE).

Computed properties:
Distance to the lowest polymorph of the same formula in eV per formula unit: 0.00

The structure in extended XYZ format:
```
5
Lattice="-0.1772 3.0477 0.3229 -1.7185 -0.3666 2.5172 4.6565 1.2622 5.2347" Properties=species:S:1:pos:R:3 pbc="T T T"
Pt 2.6275 2.6178 5.9189
H 0.0000 0.0000 0.0000
Mn 0.9951 1.1180 4.5860
Mn 1.7658 2.8252 3.4888
Pt 0.1333 1.3254 2.1560
```

***

4.
Entry from Alexandria via LeMat-Bulk: a relaxed structure of MnHPt (PBE).

Computed properties:
Distance to the lowest polymorph of the same formula in eV per formula unit: 0.00

The structure in extended XYZ format:
```
6
Lattice="-2.4206 -0.2456 1.4925 -0.6038 -2.4247 -1.3781 3.7686 -4.0356 5.4487" Properties=species:S:1:pos:R:3 pbc="T T T"
Mn 1.9516 -4.1049 4.2018
Mn -2.2616 -2.5481 0.3540
H 1.2750 -4.7995 5.7197
Pt -0.4091 -4.5316 3.0325
H 2.1834 -5.8890 4.2848
Pt 0.0987 -2.1214 1.5234
```

***

Number 1: Fermi-level density of states 4.10 states/eV/f.u.. Number 2: Fermi-level density of states 5.21 states/eV/f.u.. Number 3: Fermi-level density of states 5.84 states/eV/f.u.. Number 4: Fermi-level density of states 1.95 states/eV/f.u..